# Sm6Rh5Au

Sm6Rh5Au after structural relaxation (GGA-PBE, the Alexandria database).

Cell: 4.975 7.110 7.869 Å, 90.00 108.75 90.00°
Sites, in units of the cell vectors:
Au  0.000  0.000  0.000
Rh  0.665  0.500  0.333
Rh  0.333  0.000  0.665
Rh  0.000  0.500  0.000
Rh  0.667  0.000  0.335
Rh  0.335  0.500  0.667
Sm  0.831  0.747  0.660
Sm  0.831  0.253  0.660
Sm  0.500  0.258  0.000
Sm  0.500  0.742  0.000
Sm  0.169  0.747  0.340
Sm  0.169  0.253  0.340

Magnetic moment: 0.000 μB per atom
Calculated volume: 22.0 Å³ per atom
Total energy: -6.4294 eV per atom
Formation enthalpy at 0 K: -734 meV/atom

***

# Sm4Rh2Au

Sm4Rh2Au after structural relaxation (GGA-PBE, the Alexandria database).

Cell: 7.712 7.712 7.712 Å, 108.89 110.64 108.89°
Sites, in units of the cell vectors:
Sm  0.140  0.880  0.386
Sm  0.614  0.753  0.494
Sm  0.010  0.620  0.756
Sm  0.244  0.253  0.864
Sm  0.610  0.747  0.990
Sm  0.740  0.247  0.860
Sm  0.506  0.120  0.260
Sm  0.136  0.380  0.390
Rh  0.875  0.121  0.496
Rh  0.504  0.379  0.625
Rh  0.375  0.879  0.754
Rh  0.246  0.621  0.125
Au  0.000  0.000  0.000
Au  0.750  0.500  0.250

Magnetic moment: 0.000 μB per atom
Calculated volume: 25.2 Å³ per atom
Energy relative to the lowest polymorph listed for this composition: 0.0000 eV/atom
Total energy: -5.9421 eV per atom
Formation enthalpy at 0 K: -677 meV/atom

***

# Sm2Rh2Au

Sm2Rh2Au after structural relaxation (GGA-PBE, the Alexandria database).

Cell: 3.876 7.423 7.423 Å, 90.00 90.00 90.00°
Sites, in units of the cell vectors:
Sm  0.500  0.173  0.673
Sm  0.500  0.673  0.827
Sm  0.500  0.827  0.327
Sm  0.500  0.327  0.173
Rh  0.000  0.368  0.868
Rh  0.000  0.868  0.632
Rh  0.000  0.632  0.132
Rh  0.000  0.132  0.368
Au  0.000  0.000  0.000
Au  0.000  0.500  0.500

Magnetic moment: 0.000 μB per atom
Calculated volume: 21.4 Å³ per atom
Energy relative to the lowest polymorph listed for this composition: 0.0000 eV/atom
Total energy: -6.2287 eV per atom
Formation enthalpy at 0 K: -745 meV/atom

***

# Sm6RhAu2

Sm6RhAu2 after structural relaxation (GGA-PBE, the Alexandria database).

Cell: 6.877 7.436 10.400 Å, 90.00 92.64 90.00°
Sites, in units of the cell vectors:
Sm  0.857  0.971  0.245
Sm  0.821  0.680  0.568
Sm  0.826  0.691  0.937
Sm  0.674  0.191  0.563
Sm  0.679  0.180  0.932
Sm  0.643  0.471  0.255
Sm  0.143  0.029  0.755
Sm  0.179  0.320  0.432
Sm  0.174  0.309  0.063
Sm  0.326  0.809  0.437
Sm  0.321  0.820  0.068
Sm  0.357  0.529  0.745
Rh  0.500  0.500  0.000
Rh  0.000  0.000  0.500
Au  0.947  0.392  0.764
Au  0.553  0.892  0.736
Au  0.447  0.108  0.264
Au  0.053  0.608  0.236

Magnetic moment: 0.000 μB per atom
Calculated volume: 29.5 Å³ per atom
Total energy: -5.2049 eV per atom
Formation enthalpy at 0 K: -514 meV/atom

***

# SmSnRhAu

SmSnRhAu after structural relaxation (GGA-PBE, the Alexandria database).

Cell: 4.903 4.903 4.903 Å, 60.00 60.00 60.00°
Sites, in units of the cell vectors:
Rh  0.000  0.000  0.000
Au  0.500  0.500  0.500
Sn  0.250  0.250  0.250
Sm  0.750  0.750  0.750

Magnetic moment: 0.000 μB per atom
Calculated volume: 20.8 Å³ per atom
Total energy: -5.4248 eV per atom
Formation enthalpy at 0 K: -587 meV/atom

***

# Sm2Sn3Rh4Au

Sm2Sn3Rh4Au after structural relaxation (GGA-PBE, the Alexandria database).

Cell: 4.206 4.206 11.924 Å, 90.00 90.00 90.00°
Sites, in units of the cell vectors:
Sm  0.500  0.000  0.271
Sm  0.000  0.500  0.729
Sn  0.000  0.000  0.500
Sn  0.500  0.000  0.871
Sn  0.000  0.500  0.129
Rh  0.500  0.500  0.000
Rh  0.000  0.000  0.000
Rh  0.500  0.000  0.654
Rh  0.000  0.500  0.346
Au  0.500  0.500  0.500

Magnetic moment: 0.000 μB per atom
Calculated volume: 21.1 Å³ per atom
Total energy: -6.0454 eV per atom
Formation enthalpy at 0 K: -632 meV/atom

***

# TbSmRhAu

TbSmRhAu after structural relaxation (GGA-PBE, the Alexandria database).

Cell: 5.037 5.037 5.037 Å, 60.00 60.00 60.00°
Sites, in units of the cell vectors:
Tb  0.000  0.000  0.000
Rh  0.750  0.750  0.750
Au  0.250  0.250  0.250
Sm  0.500  0.500  0.500

Magnetic moment: 0.000 μB per atom
Calculated volume: 22.6 Å³ per atom
Energy relative to the lowest polymorph listed for this composition: 0.0492 eV/atom
Total energy: -5.7655 eV per atom
Formation enthalpy at 0 K: -771 meV/atom

***

# TbSmRhAu

TbSmRhAu after structural relaxation (GGA-PBE, the Alexandria database).

Cell: 3.841 4.593 5.640 Å, 90.00 109.91 90.00°
Sites, in units of the cell vectors:
Tb  0.864  0.500  0.729
Sm  0.144  0.000  0.289
Rh  0.409  0.000  0.817
Au  0.582  0.500  0.165

Magnetic moment: 0.000 μB per atom
Calculated volume: 23.4 Å³ per atom
Energy relative to the lowest polymorph listed for this composition: 0.0000 eV/atom
Total energy: -5.8147 eV per atom
Formation enthalpy at 0 K: -820 meV/atom

***

# Sm5Tl2Rh2Au

Sm5Tl2Rh2Au after structural relaxation (GGA-PBE, the Alexandria database).

Cell: 3.720 11.905 11.905 Å, 90.00 90.00 90.00°
Sites, in units of the cell vectors:
Sm  0.500  0.200  0.078
Sm  0.500  0.800  0.922
Sm  0.500  0.078  0.800
Sm  0.500  0.700  0.422
Sm  0.500  0.922  0.200
Sm  0.500  0.300  0.578
Sm  0.500  0.578  0.700
Sm  0.500  0.422  0.300
Sm  0.500  0.500  0.000
Sm  0.500  0.000  0.500
Tl  0.000  0.672  0.172
Tl  0.000  0.328  0.828
Tl  0.000  0.172  0.328
Tl  0.000  0.828  0.672
Rh  0.000  0.133  0.633
Rh  0.000  0.867  0.367
Rh  0.000  0.633  0.867
Rh  0.000  0.367  0.133
Au  0.000  0.000  0.000
Au  0.000  0.500  0.500

Magnetic moment: 0.000 μB per atom
Calculated volume: 26.4 Å³ per atom
Total energy: -5.2236 eV per atom
Formation enthalpy at 0 K: -593 meV/atom

***

# SmTlRhAu

SmTlRhAu after structural relaxation (GGA-PBE, the Alexandria database).

Cell: 4.938 4.938 4.938 Å, 60.00 60.00 60.00°
Sites, in units of the cell vectors:
Rh  0.000  0.000  0.000
Tl  0.250  0.250  0.250
Au  0.500  0.500  0.500
Sm  0.750  0.750  0.750

Magnetic moment: 0.000 μB per atom
Calculated volume: 21.3 Å³ per atom
Total energy: -4.8250 eV per atom
Formation enthalpy at 0 K: -396 meV/atom

***

# Sm2Zn5Rh2Au

Sm2Zn5Rh2Au after structural relaxation (GGA-PBE, the Alexandria database).

Cell: 3.914 9.706 9.706 Å, 90.00 90.00 90.00°
Sites, in units of the cell vectors:
Sm  0.000  0.681  0.181
Sm  0.000  0.319  0.819
Sm  0.000  0.181  0.319
Sm  0.000  0.819  0.681
Zn  0.500  0.200  0.055
Zn  0.500  0.800  0.945
Zn  0.500  0.055  0.800
Zn  0.500  0.700  0.445
Zn  0.500  0.945  0.200
Zn  0.500  0.300  0.555
Zn  0.500  0.555  0.700
Zn  0.500  0.445  0.300
Zn  0.500  0.500  0.000
Zn  0.500  0.000  0.500
Rh  0.000  0.119  0.619
Rh  0.000  0.881  0.381
Rh  0.000  0.619  0.881
Rh  0.000  0.381  0.119
Au  0.000  0.000  0.000
Au  0.000  0.500  0.500

Magnetic moment: 0.000 μB per atom
Calculated volume: 18.4 Å³ per atom
Total energy: -3.8050 eV per atom
Formation enthalpy at 0 K: -426 meV/atom

***

# SmZnRhAu

SmZnRhAu after structural relaxation (GGA-PBE, the Alexandria database).

Cell: 4.780 4.780 4.780 Å, 60.00 60.00 60.00°
Sites, in units of the cell vectors:
Rh  0.500  0.500  0.500
Zn  0.250  0.250  0.250
Au  0.000  0.000  0.000
Sm  0.750  0.750  0.750

Magnetic moment: 0.000 μB per atom
Calculated volume: 19.3 Å³ per atom
Total energy: -4.6378 eV per atom
Formation enthalpy at 0 K: -482 meV/atom